Entry 1:
ZrScVCu: relaxed, PBE-GGA.

Output
Calculated formation energy: 0.074 eV/atom

Lattice parameters (Å, degrees): 6.6342 6.6342 6.6342 90.00 90.00 90.00
Space group F-43m (No. 216)
Symmetry-distinct sites (fractional):
Zr: 0.0000 0.0000 0.0000 [4 per cell]
Sc: 0.0000 0.0000 0.5000 [4 per cell]
V: 0.2500 0.2500 0.2500 [4 per cell]
Cu: 0.2500 0.2500 0.7500 [4 per cell]

---

Entry 2:
KFe2Hg: relaxed, PBE-GGA.

Output
Calculated formation energy: 0.597 eV/atom

Lattice parameters (Å, degrees): 4.3214 4.3214 18.9948 90.00 90.00 120.00
Space group R3m (No. 160, hexagonal axes)
Symmetry-distinct sites (fractional):
K: 0.0000 0.0000 0.0000 [3 per cell]
Fe: 0.0000 0.0000 0.1961 [3 per cell]
Fe: 0.0000 0.0000 0.5101 [3 per cell]
Hg: 0.0000 0.0000 0.8049 [3 per cell]

---

Entry 3:
LiAcIn2: relaxed, PBE-GGA.

Output
Calculated formation energy: -0.263 eV/atom

Lattice parameters (Å, degrees): 5.1776 5.1776 4.4857 90.00 90.00 90.00
Space group P4/mmm (No. 123)
Symmetry-distinct sites (fractional):
Li: 0.0000 0.0000 0.0000 [1 per cell]
Ac: 0.5000 0.5000 0.0000 [1 per cell]
In: 0.0000 0.5000 0.5000 [2 per cell]

---

Entry 4:
Tb2Pm3Ho6Tl: relaxed, PBE-GGA.

Output
Calculated formation energy: -0.016 eV/atom

Lattice parameters (Å, degrees): 6.1238 10.6139 11.6763 90.00 100.14 90.00
Space group C2/m (No. 12)
Symmetry-distinct sites (fractional):
Tb: 0.0000 0.1662 0.0000 [4 per cell]
Pm: 0.0000 0.0000 0.5000 [2 per cell]
Pm: 0.0000 0.3330 0.5000 [4 per cell]
Ho: 0.2450 0.3357 0.2449 [8 per cell]
Ho: 0.2477 0.5000 0.7539 [4 per cell]
Tl: 0.0000 0.5000 0.0000 [2 per cell]

---

Entry 5:
BeBiB: relaxed, PBE-GGA.

Output
Calculated formation energy: 0.217 eV/atom

Lattice parameters (Å, degrees): 3.6412 3.1864 8.7348 90.00 95.58 90.00
Space group P2_1/m (No. 11)
Symmetry-distinct sites (fractional):
Be: 0.1047 0.2500 0.4418 [2 per cell]
Bi: 0.2367 0.7500 0.1775 [2 per cell]
B: 0.3856 0.7500 0.4851 [2 per cell]

---

Entry 6:
LaAg2Ir: relaxed, PBE-GGA.

Output
Calculated formation energy: -0.074 eV/atom

Lattice parameters (Å, degrees): 3.2637 5.0349 5.2876 90.00 103.60 90.00
Space group P2/m (No. 10)
Symmetry-distinct sites (fractional):
La: 0.0000 0.0000 0.0000 [1 per cell]
Ag: 0.3458 0.5000 0.7228 [2 per cell]
Ir: 0.5000 0.0000 0.5000 [1 per cell]

---

Entry 7:
MnTe2S: relaxed, PBE-GGA.

Output
Raw formation energy: 80.8 meV/atom

Lattice parameters (Å, degrees): 4.0142 4.0142 23.8042 90.00 90.00 120.00
Space group R-3m (No. 166, hexagonal axes)
Symmetry-distinct sites (fractional):
Mn: 0.0000 0.0000 0.0000 [3 per cell]
Te: 0.0000 0.0000 0.3942 [6 per cell]
S: 0.0000 0.0000 0.5000 [3 per cell]

---

Entry 8:
YPIr2: relaxed, PBE-GGA.

Output
Calculated formation energy: -0.177 eV/atom

Lattice parameters (Å, degrees): 5.6145 9.6226 2.9277 90.00 121.25 90.00
Space group C2/m (No. 12)
Symmetry-distinct sites (fractional):
Y: 0.0000 0.0000 0.0000 [2 per cell]
P: 0.0000 0.5000 0.0000 [2 per cell]
Ir: 0.2500 0.2500 0.5000 [4 per cell]